Run i
VASP calculation (PBE) on an optimized crystal structure of CaEuIr.

Properties
**N(E_F)**: 3.298 states/eV per atom
**Volume**: 83.9 Å³/cell
**Crystal system**: tetragonal

Unit cell a=3.5112 b=3.5112 c=7.2469 alpha=104.02 beta=104.02 gamma=90.00
Last column: magnetic moment on the atom in μB.
Positions (direct):
Eu  0.2890  0.2890  0.5779  6.81
Ca  0.0445  0.0445  0.0891  0.03
Ir  0.6665  0.6665  0.3330  -0.16

---

Run ii
VASP calculation (PBE) on an optimized crystal structure of CaEuIr.

Properties
**N(E_F)**: 3.759 states/eV per atom
**Volume**: 96.8 Å³/cell
**Crystal system**: trigonal

Unit cell a=6.3500 b=4.1952 c=4.1952 alpha=120.00 beta=90.00 gamma=90.00
Last column: magnetic moment on the atom in μB.
Positions (direct):
Eu  0.2313  0.3333  0.6667  6.77
Ca  0.7677  0.6667  0.3333  0.01
Ir  0.0010  0.0000  0.0000  -0.17

---

Run iii
VASP calculation (PBE) on an optimized crystal structure of CaEuIr.

Properties
**N(E_F)**: 4.035 states/eV per atom
**Volume**: 83.9 Å³/cell
**Crystal system**: cubic

Unit cell a=4.9147 b=4.9147 c=4.9147 alpha=60.00 beta=60.00 gamma=60.00
Last column: magnetic moment on the atom in μB.
Positions (direct):
Eu  0.0000  0.0000  0.0000  6.80
Ca  0.5000  0.5000  0.5000  0.03
Ir  0.2500  0.2500  0.2500  -0.10

---

Stability check: which of them is least stable? run ii.

---

Run i
VASP calculation (PBE) on an optimized crystal structure of KCaEu2.

Properties
**N(E_F)**: 3.878 states/eV per atom
**Volume**: 192.1 Å³/cell
**Crystal system**: trigonal

Unit cell a=3.9987 b=3.9987 c=14.0605 alpha=81.83 beta=81.83 gamma=60.00
Last column: magnetic moment on the atom in μB.
Positions (direct):
Eu  0.7431  0.7431  0.7707  7.03
Eu  0.2569  0.2569  0.2293  7.03
Ca  0.0000  0.0000  0.0000  0.02
K  0.5000  0.5000  0.5000  0.00

---

Run ii
VASP calculation (PBE) on an optimized crystal structure of KCaEu2.

Properties
**N(E_F)**: 4.950 states/eV per atom
**Volume**: 197.8 Å³/cell
**Crystal system**: tetragonal

Unit cell a=3.9559 b=3.9559 c=12.6409 alpha=90.00 beta=90.00 gamma=90.00
Last column: magnetic moment on the atom in μB.
Positions (direct):
Eu  0.0000  0.0000  0.7786  7.03
Eu  0.0000  0.0000  0.2214  7.03
Ca  0.5000  0.5000  0.0000  0.04
K  0.5000  0.5000  0.5000  0.01

---

Run iii
VASP calculation (PBE) on an optimized crystal structure of KCaEu2.

Properties
**N(E_F)**: 5.737 states/eV per atom
**Volume**: 196.2 Å³/cell
**Crystal system**: tetragonal

Unit cell a=5.9999 b=5.7186 c=5.7186 alpha=90.00 beta=90.00 gamma=90.00
Last column: magnetic moment on the atom in μB.
Positions (direct):
Eu  0.0000  0.0000  0.5000  7.02
Eu  0.0000  0.5000  0.0000  7.02
Ca  0.5000  0.5000  0.5000  0.04
K  0.5000  0.0000  0.0000  0.01

---

Stability check: which of them is least stable? run iii.